VASP calculation (PBE with a Hubbard U) on K2MoI4O14 after structural relaxation.

Calculated values
The value obtained for the magnetization is 0.000 μB/cell. For the uncorrected energy, the calculation gives -4.898 eV per atom.

CIF file:
```
data_K2MoI4O14
_chemical_formula_sum 'K8 Mo4 I16 O56'
_space_group_name_H-M_alt 'C 1 2/c 1'
_space_group_IT_number 15
_cell_length_a 12.9668
_cell_length_b 6.4389
_cell_length_c 17.8657
_cell_angle_alpha 90.00
_cell_angle_beta 101.55
_cell_angle_gamma 90.00
loop_
_space_group_symop_operation_xyz
'x,y,z'
'-x,-y,-z'
'-x,y,-z+1/2'
'x,-y,z+1/2'
'x+1/2,y+1/2,z'
'-x+1/2,-y+1/2,-z'
'-x+1/2,y+1/2,-z+1/2'
'x+1/2,-y+1/2,z+1/2'
loop_
_atom_site_label
_atom_site_fract_x
_atom_site_fract_y
_atom_site_fract_z
K1 0.1761 0.0028 0.4627
Mo1 0.0000 0.1263 0.2500
I1 0.0384 0.4258 0.0903
I2 0.2096 0.4683 0.8223
O1 0.0182 0.1940 0.3599
O2 0.0516 0.3294 0.4984
O3 0.1081 0.0410 0.7600
O4 0.1113 0.3999 0.2459
O5 0.1245 0.3798 0.8865
O6 0.1578 0.2911 0.0790
O7 0.2277 0.1871 0.6237
```